# PBE-GGA SmGdPdRh, relaxed
data_SmGdPdRh
_chemical_formula_sum 'Sm4 Gd4 Pd4 Rh4'
_cell_length_a 7.041
_cell_length_b 7.041
_cell_length_c 7.041
_cell_angle_alpha 90.00
_cell_angle_beta 90.00
_cell_angle_gamma 90.00
_space_group_name_H-M_alt 'F -4 3 m'
_space_group_IT_number 216
_space_group_name_Hall 'F -4 2 3'
loop_
_atom_site_label
_atom_site_type_symbol
_atom_site_fract_x
_atom_site_fract_y
_atom_site_fract_z
Sm1 Sm 0.000 0.000 0.000
Gd1 Gd 0.000 0.000 0.500
Pd1 Pd 0.250 0.250 0.750
Rh1 Rh 0.250 0.250 0.250
# V (A^3/atom): 21.8
# Formation energy from the elements (eV/atom): -0.789
# Calculated total energy (eV per cell): -138.00